No. 1
The following is a DFT calculation (GGA-PBE) of crystalline SrCaInBiO6 at its relaxed geometry.

Cell lengths 5.9516, 5.9516, 5.9516 Å; angles 60.00, 60.00, 60.00 degrees
Closest atoms and distances in Å follow each position.
Element x y z (fractional)
1 Sr 0.0000 0.0000 0.0000  12 O 2.98
2 Ca 0.5000 0.5000 0.5000  12 O 2.98
3 In 0.2500 0.2500 0.2500  6 O 2.12
4 Bi 0.7500 0.7500 0.7500  6 O 2.09
5 O 0.5015 0.5015 0.9985  1 Bi 2.09, 1 In 2.12
6 O 0.5015 0.9985 0.5015  1 Bi 2.09, 1 In 2.12
7 O 0.5015 0.9985 0.9985  1 Bi 2.09, 1 In 2.12
8 O 0.9985 0.5015 0.5015  1 Bi 2.09, 1 In 2.12
9 O 0.9985 0.5015 0.9985  1 Bi 2.09, 1 In 2.12
10 O 0.9985 0.9985 0.5015  1 Bi 2.09, 1 In 2.12

Output
E_form (uncorrected) in eV/atom: -1.7499
Space-group type: No. 216
DOS(E_F) in states/eV/atom: 0.229
Total moment in μB per cell: 0.00

---

No. 2
The following is a DFT calculation (GGA-PBE) of crystalline Sc2CoSn at its relaxed geometry.

Cell lengths 6.0214, 6.0214, 6.0214 Å; angles 103.74, 103.74, 121.67 degrees
Closest atoms and distances in Å follow each position.
Element x y z (fractional)
1 Sc 0.0640 0.6250 0.9390  2 Co 2.44
2 Sc 0.3750 0.3140 0.4390  2 Co 2.44
3 Sc 0.6860 0.1250 0.0610  2 Co 2.44
4 Sc 0.8750 0.9360 0.5610  2 Co 2.44
5 Co 0.0000 0.0000 0.0000  4 Sc 2.44
6 Co 0.7500 0.2500 0.5000  4 Sc 2.44
7 Sn 0.2500 0.7500 0.5000  2 Co 2.93, 8 Sc 3.06-3.21
8 Sn 0.5000 0.5000 0.0000  2 Co 2.93, 8 Sc 3.06-3.21

Output
ΔE_f in kJ per mole of atoms: -11
Space-group type: No. 122
DOS(E_F) in states/eV/atom: 0.986
Total moment in μB per cell: 0.00

---

No. 3
The following is a DFT calculation (GGA-PBE) of crystalline BeP2Ru at its relaxed geometry.

Cell lengths 2.8407, 2.8407, 6.2305 Å; angles 90.00, 90.00, 90.00 degrees
Closest atoms and distances in Å follow each position.
Element x y z (fractional)
1 Be 0.0000 0.0000 0.0000  8 P 2.55, 4 Be 2.84
2 P 0.5000 0.5000 0.2518  4 Ru 2.53, 4 Be 2.55
3 P 0.5000 0.5000 0.7482  4 Ru 2.53, 4 Be 2.55
4 Ru 0.0000 0.0000 0.5000  8 P 2.53

Output
ΔE_f in kJ per mole of atoms: 12
Space-group type: No. 123
DOS(E_F) in states/eV/atom: 0.560
Total moment in μB per cell: 0.00

---

No. 4
The following is a DFT calculation (GGA-PBE) of crystalline YScIr2 at its relaxed geometry.

Cell lengths 4.7772, 4.7772, 3.2588 Å; angles 90.00, 90.00, 93.28 degrees
Closest atoms and distances in Å follow each position.
Element x y z (fractional)
1 Y 0.0000 0.0000 0.0000  8 Ir 2.89
2 Sc 0.5000 0.5000 0.0000  8 Ir 2.89
3 Ir 0.0000 0.5000 0.5000  4 Sc 2.89, 4 Y 2.89
4 Ir 0.5000 0.0000 0.5000  4 Sc 2.89, 4 Y 2.89

Output
ΔE_f in kJ per mole of atoms: -81
Space-group type: No. 65
DOS(E_F) in states/eV/atom: 0.214
Total moment in μB per cell: 0.00

---

No. 5
The following is a DFT calculation (GGA-PBE) of crystalline CuBiH6Rh2 at its relaxed geometry.

Cell lengths 6.4874, 6.4874, 5.0016 Å; angles 103.07, 103.07, 95.59 degrees
Closest atoms and distances in Å follow each position.
Element x y z (fractional)
1 Cu 0.0329 0.9671 0.7500  6 H 1.79-1.83
2 Cu 0.9671 0.0329 0.2500  6 H 1.79-1.83
3 Bi 0.3744 0.6256 0.7500  4 H 2.57-2.71
4 Bi 0.6256 0.3744 0.2500  4 H 2.57-2.71
5 H 0.0021 0.5615 0.2000  2 Rh 1.77-1.78, 1 H 1.97
6 H 0.0496 0.8173 0.0119  1 Rh 1.67, 2 Cu 1.79-1.83
7 H 0.1582 0.2793 0.3990  2 Rh 1.80-1.82, 1 Cu 1.82
8 H 0.1827 0.9504 0.4881  1 Rh 1.67, 2 Cu 1.79-1.83
9 H 0.2793 0.1582 0.8990  2 Rh 1.80-1.82, 1 Cu 1.82
10 H 0.4385 0.9979 0.3000  2 Rh 1.77-1.78, 1 H 1.97
11 H 0.5615 0.0021 0.7000  2 Rh 1.77-1.78, 1 H 1.97
12 H 0.7207 0.8418 0.1010  2 Rh 1.80-1.82, 1 Cu 1.82
13 H 0.8173 0.0496 0.5119  1 Rh 1.67, 2 Cu 1.79-1.83
14 H 0.8418 0.7207 0.6010  2 Rh 1.80-1.82, 1 Cu 1.82
15 H 0.9504 0.1827 0.9881  1 Rh 1.67, 2 Cu 1.79-1.83
16 H 0.9979 0.4385 0.8000  2 Rh 1.77-1.78, 1 H 1.97
17 Rh 0.1665 0.3729 0.0893  5 H 1.67-1.82
18 Rh 0.3729 0.1665 0.5893  5 H 1.67-1.82
19 Rh 0.6271 0.8335 0.4107  5 H 1.67-1.82
20 Rh 0.8335 0.6271 0.9107  5 H 1.67-1.82

Output
Space-group type: No. 15
DOS(E_F) in states/eV/atom: 0.140
Total moment in μB per cell: 0.00
Calculated total energy in eV per atom: -4.239

---

No. 6
The following is a DFT calculation (GGA-PBE) of crystalline MnAsP2Se at its relaxed geometry.

Cell lengths 4.1996, 4.1996, 5.1724 Å; angles 90.00, 90.00, 90.00 degrees
Closest atoms and distances in Å follow each position.
Element x y z (fractional)
1 Mn 0.0000 0.0000 0.0000  4 P 2.10
2 As 0.0000 0.0000 0.5000  2 Mn 2.59
3 P 0.0000 0.5000 0.0000  2 Mn 2.10
4 P 0.5000 0.0000 0.0000  2 Mn 2.10
5 Se 0.5000 0.5000 0.5000  4 As 2.97

Output
E_form (uncorrected) in eV/atom: 0.3354
Space-group type: No. 123
DOS(E_F) in states/eV/atom: 0.600
Total moment in μB per cell: 0.00

---

No. 7
The following is a DFT calculation (GGA-PBE) of crystalline Th2InNi9 at its relaxed geometry.

Cell lengths 8.8086, 8.8086, 8.8086 Å; angles 32.68, 32.68, 32.68 degrees
Closest atoms and distances in Å follow each position.
Element x y z (fractional)
1 Th 0.1338 0.1338 0.1338  9 Ni 2.80-2.98
2 Th 0.8662 0.8662 0.8662  9 Ni 2.80-2.98
3 In 0.0000 0.0000 0.0000  6 Ni 2.86
4 Ni 0.0810 0.5820 0.5820  7 Ni 2.47-2.56
5 Ni 0.3328 0.3328 0.3328  6 Ni 2.48-2.51
6 Ni 0.4180 0.4180 0.9190  7 Ni 2.47-2.56
7 Ni 0.4180 0.9190 0.4180  7 Ni 2.47-2.56
8 Ni 0.5000 0.5000 0.5000  6 Ni 2.56
9 Ni 0.5820 0.0810 0.5820  7 Ni 2.47-2.56
10 Ni 0.5820 0.5820 0.0810  7 Ni 2.47-2.56
11 Ni 0.6672 0.6672 0.6672  6 Ni 2.48-2.51
12 Ni 0.9190 0.4180 0.4180  7 Ni 2.47-2.56

Output
ΔE_f in kJ per mole of atoms: -25
Space-group type: No. 166
DOS(E_F) in states/eV/atom: 0.917
Total moment in μB per cell: 0.00

---

No. 8
The following is a DFT calculation (GGA-PBE) of crystalline YCrCu at its relaxed geometry.

Cell lengths 4.3353, 4.3353, 3.6913 Å; angles 90.00, 90.00, 120.00 degrees
Closest atoms and distances in Å follow each position.
Element x y z (fractional)
1 Y 0.0000 0.0000 0.0000  6 Cr 3.11, 6 Cu 3.11
2 Cr 0.6667 0.3333 0.5000  3 Cu 2.50
3 Cu 0.3333 0.6667 0.5000  3 Cr 2.50

Output
ΔE_f in kJ per mole of atoms: 22
Space-group type: No. 187
DOS(E_F) in states/eV/atom: 0.907
Total moment in μB per cell: 3.35
Excess energy over the best structure of this formula in the dataset in meV/atom: 0

---

No. 9
The following is a DFT calculation (GGA-PBE) of crystalline Cd2Hg3H4 at its relaxed geometry.

Cell lengths 3.2010, 9.7083, 10.7487 Å; angles 89.30, 84.56, 87.23 degrees
Closest atoms and distances in Å follow each position.
Element x y z (fractional)
1 Cd 0.0370 0.3520 0.0150  2 H 1.90-1.91
2 Cd 0.4610 0.6469 0.4780  2 H 1.90-1.93
3 Cd 0.5390 0.3531 0.5220  2 H 1.90-1.93
4 Cd 0.9630 0.6480 0.9850  2 H 1.90-1.91
5 Hg 0.1362 0.1579 0.2425  3 H 2.67-2.94
6 Hg 0.2472 0.4988 0.7520  3 Cd 2.92-3.18, 2 Hg 3.20
7 Hg 0.4643 0.1416 0.7402  1 H 2.78, 1 Cd 3.10
8 Hg 0.5357 0.8584 0.2598  1 H 2.78, 1 Cd 3.10
9 Hg 0.7528 0.5012 0.2480  3 Cd 2.92-3.18, 2 Hg 3.20
10 Hg 0.8638 0.8421 0.7575  3 H 2.67-2.94
11 H 0.0108 0.0088 0.0337  1 H 0.76
12 H 0.0153 0.0380 0.4946  1 H 0.76
13 H 0.0629 0.2594 0.4735  2 Cd 1.90-1.93
14 H 0.4375 0.7425 0.0295  2 Cd 1.90-1.91
15 H 0.5625 0.2575 0.9705  2 Cd 1.90-1.91
16 H 0.9371 0.7406 0.5265  2 Cd 1.90-1.93
17 H 0.9847 0.9620 0.5054  1 H 0.76
18 H 0.9892 0.9912 0.9663  1 H 0.76

Output
Space-group type: No. 2
DOS(E_F) in states/eV/atom: 0.137
Total moment in μB per cell: 0.00
Calculated total energy in eV per atom: -1.642

---

No. 10
The following is a DFT calculation (GGA-PBE) of crystalline HgRhCl at its relaxed geometry.

Cell lengths 6.3918, 6.3918, 6.3918 Å; angles 151.31, 151.31, 41.03 degrees
Closest atoms and distances in Å follow each position.
Element x y z (fractional)
1 Hg 0.0000 0.0000 0.0000  4 Rh 2.84, 4 Hg 3.17
2 Rh 0.3545 0.3545 0.0000  4 Cl 2.74, 4 Hg 2.84
3 Cl 0.7232 0.7232 0.0000  4 Rh 2.74

Output
E_form (uncorrected) in eV/atom: 0.2489
Space-group type: No. 107
DOS(E_F) in states/eV/atom: 1.200
Total moment in μB per cell: 1.12
Excess energy over the best structure of this formula in the dataset in meV/atom: 111

---

No. 11
The following is a DFT calculation (GGA-PBE) of crystalline RbZr2Re at its relaxed geometry.

Cell lengths 8.4316, 8.4316, 8.4316 Å; angles 129.12, 129.12, 74.81 degrees
Closest atoms and distances in Å follow each position.
Element x y z (fractional)
1 Rb 0.3750 0.6250 0.7500  8 Zr 4.38
2 Rb 0.6250 0.3750 0.2500  8 Zr 4.38
3 Zr 0.0000 0.0000 0.0000  2 Re 2.47
4 Zr 0.0000 0.0000 0.5000  2 Re 2.47
5 Zr 0.0000 0.5000 0.0000  2 Re 2.47
6 Zr 0.5000 0.0000 0.5000  2 Re 2.47
7 Re 0.1250 0.8750 0.2500  4 Zr 2.47
8 Re 0.8750 0.1250 0.7500  4 Zr 2.47

Output
ΔE_f in kJ per mole of atoms: 127
Space-group type: No. 141
DOS(E_F) in states/eV/atom: 1.082
Total moment in μB per cell: 0.00
Excess energy over the best structure of this formula in the dataset in meV/atom: 275

---

No. 12
The following is a DFT calculation (GGA-PBE) of crystalline MgCo6 at its relaxed geometry.

Cell lengths 5.2004, 5.2004, 5.2004 Å; angles 109.47, 109.47, 109.47 degrees
Closest atoms and distances in Å follow each position.
Element x y z (fractional)
1 Mg 0.0000 0.0000 0.0000  24 Co 3.36
2 Co 0.2500 0.5000 0.7500  4 Co 2.12
3 Co 0.2500 0.7500 0.5000  4 Co 2.12
4 Co 0.5000 0.2500 0.7500  4 Co 2.12
5 Co 0.5000 0.7500 0.2500  4 Co 2.12
6 Co 0.7500 0.2500 0.5000  4 Co 2.12
7 Co 0.7500 0.5000 0.2500  4 Co 2.12

Output
ΔE_f in kJ per mole of atoms: 82
Space-group type: No. 229
DOS(E_F) in states/eV/atom: 1.336
Total moment in μB per cell: 1.90
Excess energy over the best structure of this formula in the dataset in meV/atom: 767